{"formula": "Hf2TcAuC", "functional": "PBE-GGA", "state": "relaxed", "formation_enthalpy_0k_mev_per_atom": -488.6, "sg": "P4/mmm", "magnetic_moment_mub_per_cell": 0.00, "dos_ef_per_ev_cell": 2.028, "e_above_lowest_polymorph_mev_per_atom": 0, "vol_a3_per_atom": 16.35, "dft_energy_ev_per_atom": -9.0434, "mass_density_kg_m3": 13490, "lattice_angstrom": [[4.531, 0.000, 0.000], [0.000, 4.531, 0.000], [0.000, 0.000, 3.981]], "species": ["Hf", "Hf", "Tc", "Au", "C"], "frac_coords": [[0.000, 0.500, 0.000], [0.500, 0.000, 0.000], [0.000, 0.000, 0.500], [0.500, 0.500, 0.500], [0.000, 0.000, 0.000]]}